1.
Crystalline KY2H at its relaxed geometry, computed with GGA-PBEsol.

Values from the calculation:
As for the space group: Fd-3m, No. 227. As for the theoretical density: 2.89 g/cm³. The crystal system is cubic. For the final energy, the calculation gives -4.37 eV per atom.

extended XYZ file:
```
8
Lattice="7.077 0.000 0.000 3.538 6.129 0.000 3.538 2.043 5.778" Properties=species:S:1:pos:R:3 pbc="T T T"
Y 7.077 4.086 0.722
Y 8.846 5.107 3.611
Y 7.077 2.043 3.611
K 0.000 0.000 0.000
K 3.538 2.043 1.445
Y 5.308 5.107 3.611
H 10.615 6.129 4.334
H 7.077 4.086 2.889
```


2.
Crystalline K2ZnH4 at its relaxed geometry, computed with GGA-PBEsol.

Values from the calculation:
As for the space group: Pnma, No. 62. As for the theoretical density: 2.28 g/cm³. The crystal system is orthorhombic. For the final energy, the calculation gives -2.67 eV per atom.

extended XYZ file:
```
28
Lattice="-3.408 -3.741 2.513 6.069 -3.596 2.877 -0.400 5.809 8.107" Properties=species:S:1:pos:R:3 pbc="T T T"
H 0.448 -1.248 11.287
K 4.797 0.256 10.063
H 3.157 -2.760 6.359
Zn 3.463 -1.164 6.138
K -0.051 0.858 4.384
H -0.744 -0.488 1.441
K 3.109 -2.764 3.277
H -0.896 1.232 7.136
H 0.098 -1.081 8.052
Zn 1.699 -0.214 11.514
Zn -1.201 -0.363 7.358
K 0.447 -2.832 5.917
K -2.536 -1.784 3.433
H -2.511 -0.541 8.327
K 1.814 1.304 7.579
H 1.613 -4.864 4.474
H 3.005 -1.040 12.055
Zn 0.562 -1.314 1.982
K -0.848 1.236 10.219
H -1.562 -1.020 5.890
H 2.164 -0.447 5.444
H 0.198 -2.052 3.399
H 1.813 -0.279 2.208
H 0.648 3.336 9.022
H 3.823 -0.508 7.605
H 2.063 0.524 10.097
K 2.312 -2.386 9.112
H 4.772 -0.987 5.169
```